Record 1
The following is a PBE calculation of an optimized crystal structure of Pu3TlPd3, from the Alexandria database.

Cell lengths 5.1110, 8.3997, 8.3997 Å; angles 120.00, 90.00, 90.00 degrees
Fractional positions:
Pu (0.7500, 0.9112, 0.3390)
Pu (0.2500, 0.3390, 0.4278)
Pu (0.2500, 0.5722, 0.9112)
Pu (0.2500, 0.0888, 0.6610)
Pu (0.7500, 0.6610, 0.5722)
Pu (0.7500, 0.4278, 0.0888)
Pd (0.2500, 0.8283, 0.7831)
Pd (0.7500, 0.0451, 0.8283)
Pd (0.2500, 0.2169, 0.0451)
Pd (0.7500, 0.7831, 0.9549)
Pd (0.7500, 0.1717, 0.2169)
Pd (0.2500, 0.9549, 0.1717)
Tl (0.7500, 0.3333, 0.6667)
Tl (0.2500, 0.6667, 0.3333)

Computed properties:
Density: 13.35 g/cm3
N(E_F): 53.56 states/eV/cell
Formation energy: -0.253 eV per atom
Crystal system: hexagonal
VASP energy: -8.959 eV/atom


Record 2
The following is a PBE calculation of an optimized crystal structure of SbAs2Pd7Pb2, from the Alexandria database.

Cell lengths 4.0456, 4.0456, 14.4821 Å; angles 85.26, 85.26, 90.13 degrees
Fractional positions:
As (0.5736, 0.5736, 0.7541)
As (0.4264, 0.4264, 0.2459)
Pd (0.4556, 0.9559, 0.1442)
Pd (0.0441, 0.5444, 0.8558)
Pd (0.6136, 0.6136, 0.5801)
Pd (0.3864, 0.3864, 0.4199)
Pd (0.9559, 0.4556, 0.1442)
Pd (0.5444, 0.0441, 0.8558)
Pd (0.5000, 0.5000, 0.0000)
Pb (0.1128, 0.1128, 0.6085)
Pb (0.8872, 0.8872, 0.3915)
Sb (0.0000, 0.0000, 0.0000)

Computed properties:
Energy relative to the elements, uncorrected: -0.3034 eV per atom
Density: 10.09 g/cm3
N(E_F): 4.17 states/eV/cell
Crystal system: monoclinic
VASP energy: -5.069 eV/atom


Record 3
The following is a PBE calculation of an optimized crystal structure of HoZnIn, from the Alexandria database.

Cell lengths 3.6020, 4.6619, 4.6619 Å; angles 120.00, 90.00, 90.00 degrees
Fractional positions:
In (0.1662, 0.0000, 0.0000)
Ho (0.6666, 0.6667, 0.3333)
Zn (0.1672, 0.3333, 0.6667)

Computed properties:
Density: 8.45 g/cm3
N(E_F): 1.59 states/eV/cell
Formation energy: -0.414 eV per atom
Crystal system: hexagonal
VASP energy: -3.278 eV/atom


Record 4
The following is a PBE calculation of an optimized crystal structure of Tb2PmRh, from the Alexandria database.

Cell lengths 6.4053, 7.2207, 9.5883 Å; angles 90.00, 90.00, 90.00 degrees
Fractional positions:
Tb (0.8304, 0.3238, 0.5645)
Tb (0.1696, 0.6762, 0.0645)
Tb (0.6696, 0.8238, 0.5645)
Tb (0.3304, 0.1762, 0.4355)
Tb (0.3304, 0.1762, 0.0645)
Tb (0.6696, 0.8238, 0.9355)
Tb (0.8304, 0.3238, 0.9355)
Tb (0.1696, 0.6762, 0.4355)
Pm (0.1382, 0.9654, 0.7500)
Pm (0.8618, 0.0346, 0.2500)
Pm (0.6382, 0.5346, 0.2500)
Pm (0.3618, 0.4654, 0.7500)
Rh (0.4314, 0.8819, 0.2500)
Rh (0.5686, 0.1181, 0.7500)
Rh (0.0686, 0.3819, 0.2500)
Rh (0.9314, 0.6181, 0.7500)

Computed properties:
Density: 8.47 g/cm3
N(E_F): 18.53 states/eV/cell
Formation energy: -0.493 eV per atom
Crystal system: orthorhombic
VASP energy: -5.834 eV/atom


Record 5
The following is a PBE calculation of an optimized crystal structure of CuPt2Se4, from the Alexandria database.

Cell lengths 7.4857, 7.4950, 12.9981 Å; angles 106.91, 90.00, 119.96 degrees
Fractional positions:
Pt (0.5000, 0.5000, 0.5000)
Pt (0.0000, 0.5000, 0.0000)
Pt (0.2501, 0.0000, 0.2500)
Pt (0.0000, 0.0000, 0.0000)
Pt (0.0000, 0.0000, 0.5000)
Pt (0.5000, 0.0000, 0.5000)
Pt (0.7499, 0.0000, 0.7500)
Pt (0.5000, 0.0000, 0.0000)
Se (0.6388, 0.2403, 0.8798)
Se (0.6295, 0.7590, 0.3892)
Se (0.3986, 0.7597, 0.6202)
Se (0.6014, 0.2403, 0.3798)
Se (0.1389, 0.2402, 0.3798)
Se (0.8988, 0.7598, 0.1202)
Se (0.3705, 0.2410, 0.6108)
Se (0.1392, 0.7784, 0.3796)
Se (0.3608, 0.2216, 0.1204)
Se (0.8611, 0.7598, 0.6202)
Se (0.8608, 0.2216, 0.6204)
Se (0.1012, 0.2402, 0.8798)
Se (0.6392, 0.7784, 0.8796)
Se (0.3612, 0.7597, 0.1202)
Se (0.8705, 0.2410, 0.1108)
Se (0.1295, 0.7590, 0.8892)
Cu (0.4377, 0.3756, 0.8125)
Cu (0.5623, 0.6244, 0.1875)
Cu (0.9379, 0.3756, 0.3125)
Cu (0.0621, 0.6244, 0.6875)

Computed properties:
Energy relative to the elements, uncorrected: -0.3036 eV per atom
Density: 8.59 g/cm3
N(E_F): 13.83 states/eV/cell
Crystal system: monoclinic
VASP energy: -4.606 eV/atom


Record 6
The following is a PBE calculation of an optimized crystal structure of In2PbBr, from the Alexandria database.

Cell lengths 5.5632, 3.5031, 7.2772 Å; angles 58.43, 90.00, 90.00 degrees
Fractional positions:
In (0.0000, 0.3764, 0.5047)
In (0.0000, 0.1236, 0.9953)
Br (0.5000, 0.7500, 0.7500)
Pb (0.5000, 0.2500, 0.2500)

Computed properties:
Energy relative to the elements, uncorrected: -0.1581 eV per atom
Density: 7.10 g/cm3
N(E_F): 1.21 states/eV/cell
Crystal system: monoclinic
VASP energy: -2.873 eV/atom


Record 7
The following is a PBE calculation of an optimized crystal structure of MgInNi2, from the Alexandria database.

Cell lengths 4.3921, 4.3921, 4.3921 Å; angles 60.00, 60.00, 60.00 degrees
Fractional positions:
Ni (0.0000, 0.0000, 0.0000)
Ni (0.2500, 0.2500, 0.2500)
Mg (0.7500, 0.7500, 0.7500)
In (0.5000, 0.5000, 0.5000)

Computed properties:
Density: 7.11 g/cm3
N(E_F): 2.52 states/eV/cell
Formation energy: -0.015 eV per atom
Crystal system: cubic
VASP energy: -3.989 eV/atom


Record 8
The following is a PBE calculation of an optimized crystal structure of Li5Y2Ag5, from the Alexandria database.

Cell lengths 4.6320, 5.2995, 9.5030 Å; angles 90.00, 90.00, 90.00 degrees
Fractional positions:
Ag (0.0000, 0.0000, 0.1773)
Ag (0.0000, 0.5000, 0.3322)
Ag (0.0000, 0.0000, 0.8227)
Ag (0.0000, 0.5000, 0.6678)
Ag (0.5000, 0.0000, 0.0000)
Li (0.5000, 0.7516, 0.2463)
Li (0.5000, 0.7516, 0.7537)
Li (0.5000, 0.2484, 0.7537)
Li (0.5000, 0.5000, 0.5000)
Li (0.5000, 0.2484, 0.2463)
Y (0.0000, 0.0000, 0.5000)
Y (0.0000, 0.5000, 0.0000)

Computed properties:
Density: 5.35 g/cm3
N(E_F): 7.54 states/eV/cell
Formation energy: -0.197 eV per atom
Crystal system: orthorhombic
VASP energy: -3.259 eV/atom


Record 9
The following is a PBE calculation of an optimized crystal structure of PuTaN3, from the Alexandria database.

Cell lengths 3.2265, 5.8255, 12.5841 Å; angles 90.00, 90.00, 90.00 degrees
Fractional positions:
Pu (0.2500, 0.1796, 0.1932)
Pu (0.7500, 0.8204, 0.8068)
Pu (0.7500, 0.3204, 0.6932)
Pu (0.2500, 0.6796, 0.3068)
N (0.7500, 0.4649, 0.9045)
N (0.2500, 0.1462, 0.7887)
N (0.7500, 0.3538, 0.2887)
N (0.2500, 0.0351, 0.4045)
N (0.7500, 0.6316, 0.4441)
N (0.7500, 0.9649, 0.5955)
N (0.2500, 0.8684, 0.9441)
N (0.2500, 0.6462, 0.7113)
N (0.7500, 0.8538, 0.2113)
N (0.7500, 0.1316, 0.0559)
N (0.2500, 0.5351, 0.0955)
N (0.2500, 0.3684, 0.5559)
Ta (0.7500, 0.7458, 0.0542)
Ta (0.2500, 0.2542, 0.9458)
Ta (0.2500, 0.7542, 0.5542)
Ta (0.7500, 0.2458, 0.4458)

Computed properties:
Energy relative to the elements, uncorrected: -0.9766 eV per atom
Density: 13.11 g/cm3
N(E_F): 21.26 states/eV/cell
Crystal system: orthorhombic
VASP energy: -11.209 eV/atom


Record 10
The following is a PBE calculation of an optimized crystal structure of PmThAlGa, from the Alexandria database.

Cell lengths 5.2401, 5.2401, 5.2401 Å; angles 60.00, 60.00, 60.00 degrees
Fractional positions:
Al (0.2500, 0.2500, 0.2500)
Pm (0.5000, 0.5000, 0.5000)
Th (0.0000, 0.0000, 0.0000)
Ga (0.7500, 0.7500, 0.7500)

Computed properties:
Density: 7.73 g/cm3
N(E_F): 3.80 states/eV/cell
Formation energy: -0.344 eV per atom
Crystal system: cubic
VASP energy: -5.079 eV/atom


Record 11
The following is a PBE calculation of an optimized crystal structure of Pa2ZnGa3Au4, from the Alexandria database.

Cell lengths 4.3082, 4.3082, 10.6735 Å; angles 90.00, 90.00, 90.00 degrees
Fractional positions:
Ga (0.0000, 0.5000, 0.1352)
Ga (0.0000, 0.0000, 0.5000)
Ga (0.5000, 0.0000, 0.8648)
Pa (0.0000, 0.5000, 0.7516)
Pa (0.5000, 0.0000, 0.2484)
Zn (0.5000, 0.5000, 0.5000)
Au (0.5000, 0.5000, 0.0000)
Au (0.0000, 0.0000, 0.0000)
Au (0.0000, 0.5000, 0.3642)
Au (0.5000, 0.0000, 0.6358)

Computed properties:
Density: 12.78 g/cm3
N(E_F): 7.78 states/eV/cell
Formation energy: -0.330 eV per atom
Crystal system: tetragonal
VASP energy: -4.575 eV/atom


Record 12
The following is a PBE calculation of an optimized crystal structure of Mn4TcSb, from the Alexandria database.

Cell lengths 4.7910, 4.7910, 4.7910 Å; angles 60.00, 60.00, 60.00 degrees
Fractional positions:
Tc (0.0000, 0.0000, 0.0000)
Sb (0.7500, 0.7500, 0.7500)
Mn (0.3757, 0.8728, 0.3757)
Mn (0.8728, 0.3757, 0.3757)
Mn (0.3757, 0.3757, 0.3757)
Mn (0.3757, 0.3757, 0.8728)

Computed properties:
Energy relative to the elements, uncorrected: 0.2402 eV per atom
Density: 9.39 g/cm3
N(E_F): 10.10 states/eV/cell
Crystal system: cubic
VASP energy: -8.288 eV/atom


Record 13
The following is a PBE calculation of an optimized crystal structure of BaIrOs2, from the Alexandria database.

Cell lengths 4.4365, 4.4365, 6.3741 Å; angles 69.65, 69.65, 59.99 degrees
Fractional positions:
Os (0.3178, 0.3178, 0.0468)
Os (0.9972, 0.9972, 0.0085)
Ir (0.6846, 0.6846, 0.9463)
Ba (0.5004, 0.5004, 0.4984)

Computed properties:
Density: 11.85 g/cm3
N(E_F): 3.39 states/eV/cell
Formation energy: 0.280 eV per atom
Crystal system: trigonal
VASP energy: -8.031 eV/atom


Record 14
The following is a PBE calculation of an optimized crystal structure of Li2HgOs, from the Alexandria database.

Cell lengths 6.9721, 6.9721, 5.6204 Å; angles 51.67, 51.67, 90.00 degrees
Fractional positions:
Os (0.5000, 0.5000, 0.0000)
Os (0.2500, 0.7500, 0.5000)
Hg (0.7500, 0.2500, 0.5000)
Hg (0.0000, 0.0000, 0.0000)
Li (0.6236, 0.1250, 0.2500)
Li (0.3750, 0.3764, 0.7500)
Li (0.8750, 0.8736, 0.7500)
Li (0.1264, 0.6250, 0.2500)

Computed properties:
Density: 10.24 g/cm3
N(E_F): 4.33 states/eV/cell
Formation energy: 0.652 eV per atom
Crystal system: tetragonal
VASP energy: -3.187 eV/atom


Record 15
The following is a PBE calculation of an optimized crystal structure of NaSrAuSe2, from the Alexandria database.

Cell lengths 4.8974, 7.2952, 8.1144 Å; angles 103.22, 90.00, 90.00 degrees
Fractional positions:
Se (0.2866, 0.2832, 0.0389)
Se (0.7134, 0.7168, 0.9611)
Se (0.2866, 0.7168, 0.4611)
Se (0.7134, 0.2832, 0.5389)
Au (0.0000, 0.0000, 0.5000)
Au (0.0000, 0.0000, 0.0000)
Sr (0.8015, 0.5000, 0.2500)
Sr (0.1985, 0.5000, 0.7500)
Na (0.5269, 0.0000, 0.7500)
Na (0.4731, 0.0000, 0.2500)

Computed properties:
Energy relative to the elements, uncorrected: -1.1915 eV per atom
Density: 5.48 g/cm3
N(E_F): 0.00 states/eV/cell
Crystal system: monoclinic
VASP energy: -3.841 eV/atom


Record 16
The following is a PBE calculation of an optimized crystal structure of V4SiH, from the Alexandria database.

Cell lengths 4.6034, 5.7467, 5.9589 Å; angles 106.34, 112.76, 89.96 degrees
Fractional positions:
Si (0.1207, 0.2502, 0.0000)
Si (0.8793, 0.7498, 0.0000)
V (0.7057, 0.4433, 0.1776)
V (0.2943, 0.5567, 0.8224)
V (0.6924, 0.3500, 0.6164)
V (0.5284, 0.0569, 0.8226)
V (0.4716, 0.9431, 0.1774)
V (0.0760, 0.1498, 0.3832)
V (0.9240, 0.8502, 0.6168)
V (0.3076, 0.6500, 0.3836)
H (0.0000, 0.5000, 0.5000)
H (0.5000, 0.0000, 0.5000)

Computed properties:
Density: 5.59 g/cm3
N(E_F): 9.80 states/eV/cell
Crystal system: monoclinic
VASP energy: -7.746 eV/atom


Record 17
The following is a PBE calculation of an optimized crystal structure of SiHF, from the Alexandria database.

Cell lengths 5.3197, 3.9991, 5.2938 Å; angles 90.00, 120.83, 90.00 degrees
Fractional positions:
Si (0.4681, 0.2500, 0.1020)
Si (0.5319, 0.7500, 0.8980)
F (0.7197, 0.2500, 0.4536)
F (0.2803, 0.7500, 0.5464)
H (0.1774, 0.2500, 0.0798)
H (0.8226, 0.7500, 0.9202)

Computed properties:
Density: 1.65 g/cm3
N(E_F): 0.00 states/eV/cell
Crystal system: monoclinic
VASP energy: -4.725 eV/atom


Record 18
The following is a PBE calculation of an optimized crystal structure of NaEu2Se, from the Alexandria database.

Cell lengths 4.0854, 4.0854, 11.3597 Å; angles 79.64, 79.64, 60.00 degrees
Fractional positions:
Na (0.0000, 0.0000, 0.0000)
Se (0.5000, 0.5000, 0.5000)
Eu (0.8886, 0.8886, 0.3341)
Eu (0.1114, 0.1114, 0.6659)

Computed properties:
Energy relative to the elements, uncorrected: -0.8125 eV per atom
Density: 4.20 g/cm3
N(E_F): 2.31 states/eV/cell
Crystal system: trigonal
VASP energy: -7.151 eV/atom


Record 19
The following is a PBE calculation of an optimized crystal structure of NbB2Ru, from the Alexandria database.

Cell lengths 3.5086, 3.5086, 4.6991 Å; angles 68.08, 68.08, 60.00 degrees
Fractional positions:
B (0.2279, 0.2279, 0.3162)
B (0.7721, 0.7721, 0.6838)
Nb (0.0000, 0.0000, 0.0000)
Ru (0.5000, 0.5000, 0.5000)

Computed properties:
Density: 7.92 g/cm3
N(E_F): 2.81 states/eV/cell
Formation energy: -0.209 eV per atom
Crystal system: trigonal
VASP energy: -8.384 eV/atom